Here is a geometry-optimized Sm7NCl12 structure from Alexandria via LeMat-Bulk. Energies are from PBE-GGA.

Unit cell a=8.7286 b=8.7286 c=8.7286 alpha=107.58 beta=107.58 gamma=107.58
Closest atoms and distances in Å follow each position.
Fractional positions:
Sm  0.9697  0.6900  0.8935  1 N 2.48, 2 Cl 2.76-2.78
Sm  0.3100  0.1065  0.0303  1 N 2.48, 2 Cl 2.76-2.78
Sm  0.1065  0.0303  0.3100  1 N 2.48, 2 Cl 2.76-2.78
Sm  0.5000  0.5000  0.5000  6 Cl 2.77
Sm  0.8935  0.9697  0.6900  1 N 2.48, 2 Cl 2.76-2.78
Sm  0.6900  0.8935  0.9697  1 N 2.48, 2 Cl 2.76-2.78
Sm  0.0303  0.3100  0.1065  1 N 2.48, 2 Cl 2.76-2.78
N  0.0000  0.0000  0.0000  6 Sm 2.48
Cl  0.9222  0.3136  0.7760  3 Sm 2.76-2.98
Cl  0.6864  0.2240  0.0778  3 Sm 2.76-2.98
Cl  0.4689  0.1546  0.3841  3 Sm 2.77-2.81
Cl  0.8454  0.6159  0.5311  3 Sm 2.77-2.81
Cl  0.2240  0.0778  0.6864  3 Sm 2.76-2.98
Cl  0.6159  0.5311  0.8454  3 Sm 2.77-2.81
Cl  0.3841  0.4689  0.1546  3 Sm 2.77-2.81
Cl  0.7760  0.9222  0.3136  3 Sm 2.76-2.98
Cl  0.1546  0.3841  0.4689  3 Sm 2.77-2.81
Cl  0.5311  0.8454  0.6159  3 Sm 2.77-2.81
Cl  0.3136  0.7760  0.9222  3 Sm 2.76-2.98
Cl  0.0778  0.6864  0.2240  3 Sm 2.76-2.98

Values from the calculation:
ΔE_f (raw): -1997 meV per atom
Crystal system: trigonal

Here is a geometry-optimized TbSmNCl structure from Alexandria via LeMat-Bulk. Energies are from PBE-GGA.

Unit cell a=3.6017 b=3.6018 c=7.2283 alpha=90.00 beta=104.43 gamma=120.00
Closest atoms and distances in Å follow each position.
Fractional positions:
Tb  0.0912  0.9435  0.0500  3 N 2.35
Sm  0.5073  0.1516  0.6742  3 N 2.56
N  0.3185  0.5572  0.8909  3 Tb 2.35, 3 Sm 2.56
Cl  0.9610  0.3785  0.3546  3 Tb 2.96, 3 Sm 3.04

Values from the calculation:
ΔE_f (raw): -1567 meV per atom
Crystal system: trigonal

Here is a geometry-optimized SnNCl3 structure from Alexandria via LeMat-Bulk. Energies are from PBE-GGA.

Unit cell a=5.2259 b=5.2259 c=5.2259 alpha=90.00 beta=90.00 gamma=90.00
Closest atoms and distances in Å follow each position.
Fractional positions:
N  0.5000  0.5000  0.5000  12 Cl 3.70
Sn  0.0000  0.0000  0.0000  6 Cl 2.61
Cl  0.0000  0.5000  0.0000  2 Sn 2.61
Cl  0.0000  0.0000  0.5000  2 Sn 2.61
Cl  0.5000  0.0000  0.0000  2 Sn 2.61

Values from the calculation:
ΔE_f (raw): 371 meV per atom
Offset from the most stable computed form: 0 meV/atom
Crystal system: cubic

Here is a geometry-optimized Sn3NCl structure from Alexandria via LeMat-Bulk. Energies are from PBE-GGA.

Unit cell a=4.9766 b=4.9766 c=4.9766 alpha=90.00 beta=90.00 gamma=90.00
Closest atoms and distances in Å follow each position.
Fractional positions:
N  0.0000  0.0000  0.0000  6 Sn 2.49
Sn  0.0000  0.5000  0.0000  2 N 2.49
Sn  0.0000  0.0000  0.5000  2 N 2.49
Sn  0.5000  0.0000  0.0000  2 N 2.49
Cl  0.5000  0.5000  0.5000  12 Sn 3.52

Values from the calculation:
ΔE_f (raw): 456 meV per atom
Offset from the most stable computed form: 0 meV/atom
Crystal system: cubic

Here is a geometry-optimized Sn2NCl structure from Alexandria via LeMat-Bulk. Energies are from PBE-GGA.

Unit cell a=7.1747 b=7.1747 c=6.1857 alpha=54.55 beta=54.55 gamma=90.00
Closest atoms and distances in Å follow each position.
Fractional positions:
N  0.5000  0.5000  0.0000  4 Sn 2.29
N  0.2500  0.7500  0.5000  4 Sn 2.29
Sn  0.5296  0.1250  0.2500  2 N 2.29
Sn  0.2204  0.6250  0.2500  2 N 2.29
Sn  0.3750  0.4704  0.7500  2 N 2.29
Sn  0.8750  0.7796  0.7500  2 N 2.29
Cl  0.0000  0.0000  0.0000  8 Sn 3.18-3.39, 2 N 3.54
Cl  0.7500  0.2500  0.5000  8 Sn 3.18-3.39, 2 N 3.54

Values from the calculation:
ΔE_f (raw): 58 meV per atom
Offset from the most stable computed form: 0 meV/atom
Crystal system: tetragonal

Here is a geometry-optimized SnNCl structure from Alexandria via LeMat-Bulk. Energies are from PBE-GGA.

Unit cell a=3.7051 b=3.7051 c=12.4459 alpha=99.15 beta=99.15 gamma=89.91
Closest atoms and distances in Å follow each position.
Fractional positions:
N  0.9742  0.9742  0.5410  1 N 1.11
N  0.0258  0.0258  0.4590  1 N 1.11
Cl  0.5811  0.5811  0.7853  1 Sn 2.73
Cl  0.4189  0.4189  0.2147  1 Sn 2.73
Sn  0.2286  0.2286  0.9162  1 Cl 2.73
Sn  0.7714  0.7714  0.0838  1 Cl 2.73

Values from the calculation:
ΔE_f (raw): -274 meV per atom
Offset from the most stable computed form: 0 meV/atom
Crystal system: monoclinic

Calculated calculated density, 4.5; 7.7; 2.8; 5.5; 5.2; 3.4 g/cm3 (same order as the records).